First-principles (PBE with a Hubbard U) data for a relaxed structure of PmPaMoO6, as listed in the Alexandria database.

- Total energy: -8.575 eV per atom
- Symmetry: No. 163

Cell: 5.6157 5.6157 9.9516 Å, 90.00 90.00 120.00°
Atoms (fractional coordinates):
Pm 0.0000 0.0000 0.0000
Pm 0.0000 0.0000 0.5000
Pa 0.3333 0.6667 0.2500
Pa 0.6667 0.3333 0.7500
Mo 0.3333 0.6667 0.7500
Mo 0.6667 0.3333 0.2500
O 0.0151 0.3584 0.6379
O 0.0151 0.6566 0.8621
O 0.3434 0.3584 0.8621
O 0.3434 0.9849 0.6379
O 0.3584 0.0151 0.1379
O 0.3584 0.3434 0.3621
O 0.6416 0.6566 0.6379
O 0.6416 0.9849 0.8621
O 0.6566 0.0151 0.3621
O 0.6566 0.6416 0.1379
O 0.9849 0.3434 0.1379
O 0.9849 0.6416 0.3621